No. 1
# NiOs2Pb GGA-PBE relaxed
data_NiOs2Pb
_chemical_formula_sum 'Ni2 Os4 Pb2'
_cell_length_a 8.769
_cell_length_b 2.946
_cell_length_c 5.139
_cell_angle_alpha 90.00
_cell_angle_beta 99.04
_cell_angle_gamma 90.00
_symmetry_space_group_name_H-M 'C 1 m 1'
_symmetry_Int_Tables_number 8
loop_
_symmetry_equiv_pos_as_xyz
'x,y,z'
'x,-y,z'
'x+1/2,y+1/2,z'
'x+1/2,-y+1/2,z'
loop_
_atom_site_label
_atom_site_fract_x
_atom_site_fract_y
_atom_site_fract_z
Ni1 0.000 0.000 0.000
Os1 0.015 0.500 0.592
Os2 0.256 0.000 0.767
Pb1 0.255 0.500 0.256
# **V**: 16.4 A^3/atom
# **Magnetic moment**: 0.0 μB/f.u.
# **Density of states at the Fermi level**: 6.821 states/eV per cell
# **ΔE_f**: 0.676 eV/atom
# **Final energy**: -7.311 eV per atom

=====

No. 2
# Sr3Si GGA-PBE relaxed
data_Sr3Si
_chemical_formula_sum 'Sr6 Si2'
_cell_length_a 6.566
_cell_length_b 6.566
_cell_length_c 6.566
_cell_angle_alpha 90.00
_cell_angle_beta 90.00
_cell_angle_gamma 90.00
_symmetry_space_group_name_H-M 'P m -3 n'
_symmetry_Int_Tables_number 223
_symmetry_space_group_name_Hall '-P 4n 2 3'
loop_
_atom_site_label
_atom_site_fract_x
_atom_site_fract_y
_atom_site_fract_z
Sr1 0.000 0.250 0.500
Si1 0.000 0.000 0.000
# **V**: 35.4 A^3/atom
# **Magnetic moment**: 1.8 μB/f.u.
# **Excess energy over the best structure of this formula in the dataset**: 285 meV per atom
# **Density of states at the Fermi level**: 4.346 states/eV per cell
# **Final energy**: -2.508 eV per atom

=====

No. 3
# TaSiNi GGA-PBE relaxed
data_TaSiNi
_chemical_formula_sum 'Ta6 Si6 Ni6'
_cell_length_a 6.222
_cell_length_b 3.692
_cell_length_c 10.664
_cell_angle_alpha 90.00
_cell_angle_beta 90.65
_cell_angle_gamma 90.00
_symmetry_space_group_name_H-M 'P 1 21/m 1'
_symmetry_Int_Tables_number 11
loop_
_symmetry_equiv_pos_as_xyz
'x,y,z'
'-x,-y,-z'
'-x,y+1/2,-z'
'x,-y+1/2,z'
loop_
_atom_site_label
_atom_site_fract_x
_atom_site_fract_y
_atom_site_fract_z
Ta1 0.015 0.250 0.204
Ta2 0.352 0.750 0.576
Ta3 0.480 0.750 0.883
Si1 0.221 0.750 0.079
Si2 0.227 0.250 0.411
Si3 0.278 0.250 0.747
Ni1 0.010 0.250 0.589
Ni2 0.160 0.250 0.954
Ni3 0.358 0.750 0.297
# **V**: 13.6 A^3/atom
# **Magnetic moment**: 0.0 μB/f.u.
# **Density of states at the Fermi level**: 10.289 states/eV per cell
# **Final energy**: -8.331 eV per atom

=====

No. 4
# K4Tl5Pb GGA-PBE relaxed
data_K4Tl5Pb
_chemical_formula_sum 'K4 Tl5 Pb1'
_cell_length_a 6.909
_cell_length_b 7.491
_cell_length_c 8.898
_cell_angle_alpha 67.33
_cell_angle_beta 68.69
_cell_angle_gamma 71.38
_symmetry_space_group_name_H-M 'P -1'
_symmetry_Int_Tables_number 2
loop_
_symmetry_equiv_pos_as_xyz
'x,y,z'
'-x,-y,-z'
loop_
_atom_site_label
_atom_site_fract_x
_atom_site_fract_y
_atom_site_fract_z
K1 0.214 0.447 0.250
K2 0.264 0.137 0.889
Tl1 0.151 0.897 0.361
Tl2 0.206 0.711 0.782
Tl3 0.500 0.500 0.500
Pb1 0.500 0.000 0.500
# **V**: 38.7 A^3/atom
# **Magnetic moment**: 0.0 μB/f.u.
# **Density of states at the Fermi level**: 3.851 states/eV per cell
# **ΔE_f**: -0.116 eV/atom
# **Final energy**: -2.108 eV per atom

=====

No. 5
# AcPrCd GGA-PBE relaxed
data_AcPrCd
_chemical_formula_sum 'Ac4 Pr4 Cd4'
_cell_length_a 7.757
_cell_length_b 7.757
_cell_length_c 7.757
_cell_angle_alpha 90.00
_cell_angle_beta 90.00
_cell_angle_gamma 90.00
_symmetry_space_group_name_H-M 'F -4 3 m'
_symmetry_Int_Tables_number 216
_symmetry_space_group_name_Hall 'F -4 2 3'
loop_
_atom_site_label
_atom_site_fract_x
_atom_site_fract_y
_atom_site_fract_z
Ac1 0.000 0.000 0.000
Pr1 0.000 0.000 0.500
Cd1 0.250 0.250 0.750
# **V**: 38.9 A^3/atom
# **Magnetic moment**: 0.0 μB/f.u.
# **Excess energy over the best structure of this formula in the dataset**: 252 meV per atom
# **Density of states at the Fermi level**: 24.614 states/eV per cell
# **ΔE_f**: 0.064 eV/atom
# **Final energy**: -3.204 eV per atom

=====

No. 6
# CeLuCo4 GGA-PBE relaxed
data_CeLuCo4
_chemical_formula_sum 'Ce4 Lu4 Co16'
_cell_length_a 7.046
_cell_length_b 7.046
_cell_length_c 7.046
_cell_angle_alpha 90.00
_cell_angle_beta 90.00
_cell_angle_gamma 90.00
_symmetry_space_group_name_H-M 'F -4 3 m'
_symmetry_Int_Tables_number 216
_symmetry_space_group_name_Hall 'F -4 2 3'
loop_
_atom_site_label
_atom_site_fract_x
_atom_site_fract_y
_atom_site_fract_z
Ce1 0.000 0.000 0.000
Lu1 0.250 0.250 0.750
Co1 0.124 0.124 0.376
# **V**: 14.6 A^3/atom
# **Magnetic moment**: 0.0 μB/f.u.
# **Density of states at the Fermi level**: 31.982 states/eV per cell
# **ΔE_f**: -0.234 eV/atom
# **Final energy**: -6.713 eV per atom

=====

No. 7
# BeCoW GGA-PBE relaxed
data_BeCoW
_chemical_formula_sum 'Be1 Co1 W1'
_cell_length_a 2.6818
_cell_length_b 2.6818
_cell_length_c 5.9470
_cell_angle_alpha 90.00
_cell_angle_beta 90.00
_cell_angle_gamma 120.00
_symmetry_space_group_name_H-M 'P 3 m 1'
_symmetry_Int_Tables_number 156
loop_
_symmetry_equiv_pos_as_xyz
'x,y,z'
'-y,x-y,z'
'-x+y,-x,z'
'-y,-x,z'
'-x+y,y,z'
'x,x-y,z'
loop_
_atom_site_label
_atom_site_fract_x
_atom_site_fract_y
_atom_site_fract_z
Be1 0.0000 0.0000 0.0000
Co1 0.6667 0.3333 0.2919
W1 0.3333 0.6667 0.6445
# **V**: 12.3 A^3/atom
# **Magnetic moment**: 0.9 μB/f.u.
# **Excess energy over the best structure of this formula in the dataset**: 441 meV per atom
# **Density of states at the Fermi level**: 2.854 states/eV per cell
# **ΔE_f**: 0.278 eV/atom
# **Final energy**: -7.650 eV per atom

=====

No. 8
# InSbPb GGA-PBE relaxed
data_InSbPb
_chemical_formula_sum 'In1 Sb1 Pb1'
_cell_length_a 5.5365
_cell_length_b 5.5365
_cell_length_c 3.3254
_cell_angle_alpha 90.00
_cell_angle_beta 90.00
_cell_angle_gamma 120.00
_symmetry_space_group_name_H-M 'P 3 m 1'
_symmetry_Int_Tables_number 156
loop_
_symmetry_equiv_pos_as_xyz
'x,y,z'
'-y,x-y,z'
'-x+y,-x,z'
'-y,-x,z'
'-x+y,y,z'
'x,x-y,z'
loop_
_atom_site_label
_atom_site_fract_x
_atom_site_fract_y
_atom_site_fract_z
In1 0.0000 0.0000 0.0000
Sb1 0.3333 0.6667 0.7229
Pb1 0.6667 0.3333 0.5115
# **V**: 29.4 A^3/atom
# **Magnetic moment**: 0.0 μB/f.u.
# **Excess energy over the best structure of this formula in the dataset**: 29 meV per atom
# **Density of states at the Fermi level**: 1.353 states/eV per cell
# **Final energy**: -3.480 eV per atom